Material: TlRe2Si
Method: DFT, PBE
State: optimized geometry

a = 4.398 Å, b = 3.004 Å, c = 5.379 Å
α = 73.97°, β = 90.00°, γ = 90.00°
Fractional positions:
Tl (0.500, 0.703, 0.726)
Re (0.500, 0.436, 0.248)
Si (0.000, 0.334, 0.458)
Re (0.000, 0.027, 0.068)

formation energy from raw total energies: 0.613 eV/atom
density: 14707 kg/m3
density of states at the Fermi level: 3.17 states/eV per cell